The following is a GGA+U calculation of crystalline NbFeNF2 at its relaxed geometry, from Alexandria via LeMat-Bulk.

## Properties
The value obtained for the density of states at the Fermi level is 1.62 states/eV/cell. Its polymorph energy (0 for the lowest one) is 0.00 eV/f.u.

Unit cell a=4.160 b=4.160 c=4.068 alpha=90.00 beta=90.00 gamma=90.00
Space group P4/mmm (No. 123)
Inequivalent atoms, fractional coordinates:
Nb (0.000, 0.000, 0.000) (multiplicity 1)
Fe (0.500, 0.500, 0.500) (multiplicity 1)
N (0.000, 0.000, 0.500) (multiplicity 1)
F (0.000, 0.500, 0.000) (multiplicity 2)